Entry 1:
Computed, not measured: a relaxed V3TeP crystal at the PBE level of DFT.

ρ, kg/m3: 6098
Uncorrected formation energy, eV per atom: 0.20
Distance to the lowest polymorph of the same formula, eV per formula unit: 0.00

abc: 4.3933 4.3933 4.3933
angles: 90.00 90.00 90.00
Last column: nearest neighbours and their distance in Å.
Space group Pm-3m (No. 221)
Asymmetric unit:
V (0.0000, 0.0000, 0.5000) x3  2 P 2.20
Te (0.5000, 0.5000, 0.5000) x1  12 V 3.11
P (0.0000, 0.0000, 0.0000) x1  6 V 2.20

***

Entry 2:
Computed, not measured: a relaxed VTe3P crystal at the PBE level of DFT.

ρ, kg/m3: 5497
Uncorrected formation energy, eV per atom: 0.73
Distance to the lowest polymorph of the same formula, eV per formula unit: 0.54

abc: 5.1973 5.1973 5.1973
angles: 90.00 90.00 90.00
Last column: nearest neighbours and their distance in Å.
Space group Pm-3m (No. 221)
Asymmetric unit:
V (0.0000, 0.0000, 0.0000) x1  12 Te 3.68
Te (0.0000, 0.5000, 0.5000) x3  2 P 2.60
P (0.5000, 0.5000, 0.5000) x1  6 Te 2.60

***

Entry 3:
Computed, not measured: a relaxed V3TeP crystal at the PBE level of DFT.

ρ, kg/m3: 4031
Uncorrected formation energy, eV per atom: 1.36
Distance to the lowest polymorph of the same formula, eV per formula unit: 5.77

abc: 5.0434 5.0434 5.0434
angles: 90.00 90.00 90.00
Last column: nearest neighbours and their distance in Å.
Space group Pm-3m (No. 221)
Asymmetric unit:
V (0.0000, 0.0000, 0.5000) x3  2 Te 2.52
Te (0.0000, 0.0000, 0.0000) x1  6 V 2.52
P (0.5000, 0.5000, 0.5000) x1  12 V 3.57

***

Question: The lowest uncorrected formation energy belongs to which entry?
Answer: number 1

***

Question: The lowest ρ belongs to which entry?
Answer: number 3